Compound: MnCuO2F
Source: Alexandria via LeMat-Bulk
Functional: PBE+U
Structure: relaxed

Geometry as CIF:
```
data_MnCuO2F
_space_group_name_H-M_alt 'P 1'
_space_group_IT_number 1
_cell_length_a 3.8008
_cell_length_b 3.8008
_cell_length_c 3.8134
_cell_angle_alpha 90.00
_cell_angle_beta 90.00
_cell_angle_gamma 90.00
loop_
_space_group_symop_operation_xyz
'x,y,z'
loop_
_atom_site_label
_atom_site_type_symbol
_atom_site_fract_x
_atom_site_fract_y
_atom_site_fract_z
_atom_site_occupancy
Mn1 Mn 0.0000 0.0000 0.0000 1
Cu1 Cu 0.5000 0.5000 0.5000 1
O1 O 0.0000 0.5000 0.5000 1
O2 O 0.5000 0.0000 0.5000 1
F1 F 0.5000 0.5000 0.0000 1
```

Output
Fermi-level density of states (states/eV/f.u.): 2.80
Space group: P4/mmm, No. 123
Final energy (eV per atom): -5.54